# ScGaTcP2 PBE-GGA relaxed
data_ScGaTcP2
_chemical_formula_sum 'Sc1 Ga1 Tc1 P2'
_space_group_name_H-M_alt 'P 4/m m m'
_space_group_IT_number 123
_space_group_name_Hall '-P 4 2'
_cell_length_a 4.563
_cell_length_b 4.563
_cell_length_c 5.103
_cell_angle_alpha 90.00
_cell_angle_beta 90.00
_cell_angle_gamma 90.00
loop_
_atom_site_label
_atom_site_type_symbol
_atom_site_fract_x
_atom_site_fract_y
_atom_site_fract_z
Sc1 Sc 0.000 0.000 0.000
Ga1 Ga 0.500 0.500 0.000
Tc1 Tc 0.000 0.000 0.500
P1 P 0.000 0.500 0.500
# DOS(E_F)   4.55 states/eV/cell
# Calculated volume   21.3 Å³ per atom
# ΔH_f (0 K)   0.122 eV per atom



# In2SbCl2 PBE-GGA relaxed
data_In2SbCl2
_chemical_formula_sum 'In4 Sb2 Cl4'
_space_group_name_H-M_alt 'P 4/m b m'
_space_group_IT_number 127
_space_group_name_Hall '-P 4 2ab'
_cell_length_a 8.706
_cell_length_b 8.706
_cell_length_c 3.764
_cell_angle_alpha 90.00
_cell_angle_beta 90.00
_cell_angle_gamma 90.00
loop_
_atom_site_label
_atom_site_type_symbol
_atom_site_fract_x
_atom_site_fract_y
_atom_site_fract_z
In1 In 0.214 0.286 0.000
Sb1 Sb 0.000 0.000 0.000
Cl1 Cl 0.127 0.627 0.500
# DOS(E_F)   3.28 states/eV/cell
# Calculated volume   28.5 Å³ per atom
# Energy relative to the elements, uncorrected   -0.4299 eV/atom